Material: Co2SiPt
Method: DFT, PBE
State: optimized geometry

Results
ΔE_f (raw)   -209 meV per atom
V   12.36 Å³/atom

abc: 2.774 2.774 6.426
angles: 90.00 90.00 90.00
Element x y z (fractional)
Co  0.000  0.000  0.000
Co  0.500  0.500  0.245
Si  0.500  0.500  0.802
Pt  0.000  0.000  0.544

***

Material: Sm3CoSi2Pt9
Method: DFT, PBE
State: optimized geometry

Results
ΔE_f (raw)   -641 meV per atom
V   20.50 Å³/atom

abc: 6.388 6.388 8.700
angles: 90.00 90.00 120.00
Element x y z (fractional)
Sm  0.000  0.000  0.000
Sm  0.333  0.667  0.696
Sm  0.667  0.333  0.304
Co  0.000  0.000  0.500
Si  0.333  0.667  0.188
Si  0.667  0.333  0.812
Pt  0.000  0.500  0.000
Pt  0.142  0.285  0.280
Pt  0.142  0.858  0.280
Pt  0.285  0.142  0.720
Pt  0.500  0.000  0.000
Pt  0.500  0.500  0.000
Pt  0.715  0.858  0.280
Pt  0.858  0.142  0.720
Pt  0.858  0.715  0.720

***

Material: Sm2CoSi4Pt3
Method: DFT, PBE
State: optimized geometry

Results
ΔE_f (raw)   -1027 meV per atom
V   17.22 Å³/atom

abc: 4.166 4.166 9.919
angles: 90.00 90.00 90.00
Element x y z (fractional)
Sm  0.000  0.500  0.249
Sm  0.500  0.000  0.751
Co  0.500  0.500  0.000
Si  0.000  0.000  0.500
Si  0.000  0.500  0.874
Si  0.500  0.000  0.126
Si  0.500  0.500  0.500
Pt  0.000  0.000  0.000
Pt  0.000  0.500  0.627
Pt  0.500  0.000  0.373

***

So what do the calculations give for N(E_F)? Going down the list: 1.24; 0.59; 0.41 states/eV per atom.